VASP calculation (PBE) on a relaxed V6Ni12Rh crystal.

Values from the calculation:
Calculated total energy: -382.8 eV/cell
DOS at the Fermi energy: 59.53 states/eV per cell

CIF file:
```
data_V6Ni12Rh
_chemical_formula_sum 'V18 Ni36 Rh3'
_cell_length_a 10.8764
_cell_length_b 10.8764
_cell_length_c 7.2073
_cell_angle_alpha 90.00
_cell_angle_beta 90.00
_cell_angle_gamma 120.00
_space_group_name_H-M_alt 'R -3 m'
_space_group_IT_number 166
_space_group_name_Hall '-R 3 2"'
loop_
_atom_site_label
_atom_site_fract_x
_atom_site_fract_y
_atom_site_fract_z
_atom_site_occupancy
V1 0.0422 0.5211 0.2121 1
Ni1 0.0000 0.3895 0.5000 1
Ni2 0.0743 0.1486 0.2914 1
Rh1 0.0000 0.0000 0.0000 1
```